DFT (PBE) results for crystalline SrLa2MgOs at its relaxed geometry.

Properties
Energy relative to the lowest polymorph listed for this composition (kJ per mole of atoms): 5.5
Formation energy (eV per atom): 0.035
Total DFT energy (no corrections) (eV/cell): -24.2
N(E_F) (states/eV per cell): 3.76

a b c (Å): 5.5265 5.5265 6.0726
angles (deg): 90.00 90.00 90.00
Last column: nearest neighbours and their distance in Å.
Positions (direct):
Mg: 0.5000 0.5000 0.5000  4 Sr 3.91, 8 La 4.11
La: 0.0000 0.5000 0.0000  2 Os 2.76
La: 0.5000 0.0000 0.0000  2 Os 2.76
Sr: 0.0000 0.0000 0.5000  2 Os 3.04
Os: 0.0000 0.0000 0.0000  4 La 2.76, 2 Sr 3.04